This record from Alexandria via LeMat-Bulk describes an optimized crystal structure of Ni2Ir2Au. The functional is PBE.

As for the density of states at the Fermi level: 17.82 states/eV per cell. The calculation puts the formation energy at 44.2 kJ per mole of atoms. As for the energy above the most stable polymorph in this dataset: 0.95 eV/f.u. Its magnetization is 0.04 μB/atom.

It has space group I4/mmm (No. 139), with a = 3.504 Å, b = 3.504 Å, c = 12.133 Å, α = 90.00°, β = 90.00° and γ = 90.00°. The distinct sites, in fractional coordinates, are Ni at (0.000, 0.500, 0.250), Ir at (0.000, 0.000, 0.105) and Au at (0.000, 0.000, 0.500).

=====

This record from Alexandria via LeMat-Bulk describes an optimized crystal structure of Pa2WN. The functional is PBE.

As for the energy relative to the elements, uncorrected: -0.0682 eV/atom. As for the density of states at the Fermi level: 14.40 states/eV per cell. Its magnetization is 0.00 μB/atom.

It has space group R-3m (No. 166, hexagonal axes), with a = 3.1009 Å, b = 3.1009 Å, c = 26.5079 Å, α = 90.00°, β = 90.00° and γ = 120.00°. The distinct sites, in fractional coordinates, are Pa at (0.0000, 0.0000, 0.1059), W at (0.0000, 0.0000, 0.0000) and N at (0.0000, 0.0000, 0.5000).

=====

This record from Alexandria via LeMat-Bulk describes an optimized crystal structure of ZrTlSe2. The functional is PBE.

As for the energy relative to the elements, uncorrected: -0.8912 eV/atom. As for the density of states at the Fermi level: 2.16 states/eV per cell. Its magnetization is 0.00 μB/atom.

It has space group P2/m (No. 10), with a = 3.428 Å, b = 3.435 Å, c = 8.064 Å, α = 90.00°, β = 90.09° and γ = 90.00°. The distinct sites, in fractional coordinates, are Zr at (0.000, 0.000, 0.000), Tl at (0.000, 0.000, 0.500) and Se at (0.499, 0.500, 0.805).

=====

Question: Look up the density of states at the Fermi level of the first one.
Answer: 17.82 states/eV per cell

=====

Repeat the second record exactly.
This record from Alexandria via LeMat-Bulk describes an optimized crystal structure of Pa2WN. The functional is PBE.

As for the energy relative to the elements, uncorrected: -0.0682 eV/atom. As for the density of states at the Fermi level: 14.40 states/eV per cell. Its magnetization is 0.00 μB/atom.

It has space group R-3m (No. 166, hexagonal axes), with a = 3.1009 Å, b = 3.1009 Å, c = 26.5079 Å, α = 90.00°, β = 90.00° and γ = 120.00°. The distinct sites, in fractional coordinates, are Pa at (0.0000, 0.0000, 0.1059), W at (0.0000, 0.0000, 0.0000) and N at (0.0000, 0.0000, 0.5000).

=====

Copy entry 1 word for word.
This record from Alexandria via LeMat-Bulk describes an optimized crystal structure of Ni2Ir2Au. The functional is PBE.

As for the density of states at the Fermi level: 17.82 states/eV per cell. The calculation puts the formation energy at 44.2 kJ per mole of atoms. As for the energy above the most stable polymorph in this dataset: 0.95 eV/f.u. Its magnetization is 0.04 μB/atom.

It has space group I4/mmm (No. 139), with a = 3.504 Å, b = 3.504 Å, c = 12.133 Å, α = 90.00°, β = 90.00° and γ = 90.00°. The distinct sites, in fractional coordinates, are Ni at (0.000, 0.500, 0.250), Ir at (0.000, 0.000, 0.105) and Au at (0.000, 0.000, 0.500).